[1]
Density functional theory data (PBE) for a geometry-optimized Ta3Ag structure.

Computed properties:
* uncorrected energy: -9.27 eV per atom
* calculated density: 14.976 g cm⁻³
* space group: Fm-3m
* energy of formation from the pure elements: 0.329 eV/atom

Unit cell a=4.673 b=4.673 c=4.673 alpha=60.00 beta=60.00 gamma=60.00
Atoms (fractional coordinates):
Ta: 0.000 0.000 0.000
Ta: 0.250 0.250 0.250
Ta: 0.750 0.750 0.750
Ag: 0.500 0.500 0.500



[2]
Density functional theory data (PBE) for a geometry-optimized Ta3Ag structure.

Computed properties:
* uncorrected energy: -9.30 eV per atom
* calculated density: 14.830 g cm⁻³
* space group: C2/m
* energy of formation from the pure elements: 0.303 eV/atom

Unit cell a=5.124 b=5.124 c=5.165 alpha=99.38 beta=99.38 gamma=33.04
Atoms (fractional coordinates):
Ta: 0.000 0.000 0.000
Ta: 0.245 0.245 0.748
Ta: 0.755 0.755 0.252
Ag: 0.500 0.500 0.500



[3]
Density functional theory data (PBE) for a geometry-optimized TaAg structure.

Computed properties:
* uncorrected energy: -7.09 eV per atom
* calculated density: 13.255 g cm⁻³
* space group: R-3m
* energy of formation from the pure elements: 0.260 eV/atom

Unit cell a=10.218 b=10.218 c=10.218 alpha=16.20 beta=16.20 gamma=16.20
Atoms (fractional coordinates):
Ta: 0.124 0.124 0.124
Ta: 0.876 0.876 0.876
Ag: 0.374 0.374 0.374
Ag: 0.626 0.626 0.626



[4]
Density functional theory data (PBE) for a geometry-optimized Ta3Ag5 structure.

Computed properties:
* uncorrected energy: -5.73 eV per atom
* calculated density: 12.078 g cm⁻³
* space group: Cm
* energy of formation from the pure elements: 0.495 eV/atom

Unit cell a=8.356 b=8.356 c=7.449 alpha=94.98 beta=94.98 gamma=143.46
Atoms (fractional coordinates):
Ta: 0.000 0.000 0.000
Ta: 0.288 0.894 0.667
Ta: 0.392 0.392 0.295
Ta: 0.455 0.969 0.340
Ta: 0.894 0.288 0.667
Ta: 0.969 0.455 0.340
Ag: 0.011 0.638 0.964
Ag: 0.228 0.510 0.063
Ag: 0.434 0.675 0.588
Ag: 0.463 0.463 0.855
Ag: 0.510 0.228 0.063
Ag: 0.638 0.011 0.964
Ag: 0.675 0.434 0.588
Ag: 0.807 0.986 0.300
Ag: 0.966 0.966 0.624
Ag: 0.986 0.807 0.300



[5]
Density functional theory data (PBE) for a geometry-optimized Ta2Ag structure.

Computed properties:
* uncorrected energy: -8.55 eV per atom
* calculated density: 14.281 g cm⁻³
* space group: P-3m1
* energy of formation from the pure elements: 0.299 eV/atom

Unit cell a=2.876 b=2.876 c=7.628 alpha=90.00 beta=90.00 gamma=120.00
Atoms (fractional coordinates):
Ta: 0.333 0.667 0.331
Ta: 0.667 0.333 0.669
Ag: 0.000 0.000 0.000



[6]
Density functional theory data (PBE) for a geometry-optimized TaAg2 structure.

Computed properties:
* uncorrected energy: -5.47 eV per atom
* calculated density: 12.508 g cm⁻³
* space group: Immm
* energy of formation from the pure elements: 0.385 eV/atom

Unit cell a=5.014 b=5.014 c=5.014 alpha=147.75 beta=127.72 gamma=62.77
Atoms (fractional coordinates):
Ta: 0.000 0.000 0.000
Ag: 0.334 0.334 0.000
Ag: 0.666 0.666 0.000



[7]
Density functional theory data (PBE) for a geometry-optimized Ta2Ag structure.

Computed properties:
* uncorrected energy: -8.09 eV per atom
* calculated density: 13.093 g cm⁻³
* space group: Imma
* energy of formation from the pure elements: 0.757 eV/atom

Unit cell a=9.842 b=9.842 c=9.842 alpha=163.64 beta=153.65 gamma=31.18
Atoms (fractional coordinates):
Ta: 0.292 0.042 0.250
Ta: 0.437 0.187 0.250
Ta: 0.563 0.813 0.750
Ta: 0.708 0.958 0.750
Ag: 0.136 0.386 0.750
Ag: 0.864 0.614 0.250



[8]
Density functional theory data (PBE) for a geometry-optimized TaAg2 structure.

Computed properties:
* uncorrected energy: -5.60 eV per atom
* calculated density: 12.252 g cm⁻³
* space group: P-3m1
* energy of formation from the pure elements: 0.253 eV/atom

Unit cell a=2.892 b=2.892 c=7.424 alpha=90.00 beta=90.00 gamma=120.00
Atoms (fractional coordinates):
Ta: 0.000 0.000 0.000
Ag: 0.333 0.667 0.667
Ag: 0.667 0.333 0.333



[9]
Density functional theory data (PBE) for a geometry-optimized TaAg structure.

Computed properties:
* uncorrected energy: -7.02 eV per atom
* calculated density: 13.401 g cm⁻³
* space group: P2_1/m
* energy of formation from the pure elements: 0.337 eV/atom

Unit cell a=2.706 b=4.563 c=5.931 alpha=90.00 beta=102.20 gamma=90.00
Atoms (fractional coordinates):
Ta: 0.175 0.250 0.365
Ta: 0.825 0.750 0.635
Ag: 0.445 0.250 0.872
Ag: 0.555 0.750 0.128



[10]
Density functional theory data (PBE) for a geometry-optimized Ta3Ag structure.

Computed properties:
* uncorrected energy: -9.30 eV per atom
* calculated density: 14.841 g cm⁻³
* space group: Cmmm
* energy of formation from the pure elements: 0.306 eV/atom

Unit cell a=5.193 b=5.193 c=2.889 alpha=90.00 beta=90.00 gamma=110.88
Atoms (fractional coordinates):
Ta: 0.000 0.000 0.000
Ta: 0.000 0.500 0.500
Ta: 0.500 0.000 0.500
Ag: 0.500 0.500 0.000



[11]
Density functional theory data (PBE) for a geometry-optimized Ta2Ag structure.

Computed properties:
* uncorrected energy: -8.28 eV per atom
* calculated density: 13.508 g cm⁻³
* space group: Fd-3m
* energy of formation from the pure elements: 0.576 eV/atom

Unit cell a=5.466 b=5.466 c=5.466 alpha=60.00 beta=60.00 gamma=60.00
Atoms (fractional coordinates):
Ta: 0.000 0.000 0.000
Ta: 0.000 0.000 0.500
Ta: 0.000 0.500 0.000
Ta: 0.500 0.000 0.000
Ag: 0.375 0.375 0.375
Ag: 0.625 0.625 0.625



[12]
Density functional theory data (PBE) for a geometry-optimized TaAg structure.

Computed properties:
* uncorrected energy: -7.02 eV per atom
* calculated density: 13.352 g cm⁻³
* space group: P-6m2
* energy of formation from the pure elements: 0.328 eV/atom

Unit cell a=2.870 b=2.870 c=5.035 alpha=90.00 beta=90.00 gamma=120.00
Atoms (fractional coordinates):
Ta: 0.000 0.000 0.000
Ag: 0.667 0.333 0.500



- Which of these has the lowest energy of formation from the pure elements?
  number 8